Entry from Alexandria: a geometry-optimized Ba2AgPt structure (GGA-PBE).

- Total magnetic moment: 0.000 μB/f.u.
- Energy of formation: -0.5210 eV per atom
- VASP energy: -3.71 eV/atom
- V: 33.35 A^3/atom

Cell lengths 6.5615, 4.8017, 9.0726 Å; angles 90.00, 111.03, 90.00 degrees
Space group P2_1/m (No. 11)
Unique sites:
1 Ba 0.2169 0.2500 0.4388
2 Ba 0.2336 0.2500 0.9218
3 Ag 0.3527 0.7500 0.2156
4 Pt 0.3598 0.7500 0.7142